A relaxed Al2Cu3Ni3 crystal, computed with PBE.

Results
- formation energy from the elements (eV/atom) = -0.235
- energy above the most stable polymorph in this dataset (meV per atom) = 106

a b c (Å): 6.5292 6.5292 2.6570
angles (deg): 90.00 90.00 120.00
Space group P-62m (No. 189)
One atom of each set of equivalent atoms:
Al 0.3333 0.6667 0.0000
Cu 0.0000 0.7691 0.0000
Ni 0.0000 0.3855 0.5000